# PBE YbSn2Rh, relaxed
# Magnetization in μB per formula unit: 0.00
# Formation energy from the elements in eV/atom: -0.725
# Density of states at the Fermi level in states/eV/cell: 3.15
# Space group: P2_1/m (11)
# Total DFT energy (no corrections) in eV/atom: -4.945
data_YbSn2Rh
_space_group_name_H-M_alt 'P 1'
_space_group_IT_number 1
_space_group_name_Hall 'P 1'
_cell_length_a 4.3768
_cell_length_b 7.5813
_cell_length_c 5.7679
_cell_angle_alpha 90.00
_cell_angle_beta 112.16
_cell_angle_gamma 90.00
loop_
_atom_site_label
_atom_site_fract_x
_atom_site_fract_y
_atom_site_fract_z
Yb1 0.0697 0.2500 0.1378
Yb2 0.9303 0.7500 0.8622
Sn1 0.3568 0.0465 0.7134
Sn2 0.3568 0.4535 0.7134
Sn3 0.6432 0.5465 0.2866
Sn4 0.6432 0.9535 0.2866
Rh1 0.2076 0.7500 0.4167
Rh2 0.7924 0.2500 0.5833


# PBE Yb3Sn13Rh4, relaxed
# Magnetization in μB per formula unit: 0.57
# Formation energy from the elements in eV/atom: -0.522
# Density of states at the Fermi level in states/eV/cell: 97.98
# Space group: Pm-3n (223)
# Total DFT energy (no corrections) in eV/atom: -4.823
data_Yb3Sn13Rh4
_space_group_name_H-M_alt 'P 1'
_space_group_IT_number 1
_space_group_name_Hall 'P 1'
_cell_length_a 9.7788
_cell_length_b 9.7788
_cell_length_c 9.7788
_cell_angle_alpha 90.00
_cell_angle_beta 90.00
_cell_angle_gamma 90.00
loop_
_atom_site_label
_atom_site_fract_x
_atom_site_fract_y
_atom_site_fract_z
Yb1 0.0000 0.2500 0.5000
Yb2 0.0000 0.7500 0.5000
Yb3 0.2500 0.5000 0.0000
Yb4 0.5000 0.0000 0.2500
Yb5 0.5000 0.0000 0.7500
Yb6 0.7500 0.5000 0.0000
Sn1 0.0000 0.0000 0.0000
Sn2 0.0000 0.3067 0.1530
Sn3 0.0000 0.3067 0.8470
Sn4 0.0000 0.6933 0.1530
Sn5 0.0000 0.6933 0.8470
Sn6 0.1530 0.0000 0.3067
Sn7 0.1530 0.0000 0.6933
Sn8 0.1933 0.5000 0.3470
Sn9 0.1933 0.5000 0.6530
Sn10 0.3067 0.1530 0.0000
Sn11 0.3067 0.8470 0.0000
Sn12 0.3470 0.1933 0.5000
Sn13 0.3470 0.8067 0.5000
Sn14 0.5000 0.3470 0.1933
Sn15 0.5000 0.3470 0.8067
Sn16 0.5000 0.5000 0.5000
Sn17 0.5000 0.6530 0.1933
Sn18 0.5000 0.6530 0.8067
Sn19 0.6530 0.1933 0.5000
Sn20 0.6530 0.8067 0.5000
Sn21 0.6933 0.1530 0.0000
Sn22 0.6933 0.8470 0.0000
Sn23 0.8067 0.5000 0.3470
Sn24 0.8067 0.5000 0.6530
Sn25 0.8470 0.0000 0.3067
Sn26 0.8470 0.0000 0.6933
Rh1 0.2500 0.2500 0.2500
Rh2 0.2500 0.2500 0.7500
Rh3 0.2500 0.7500 0.2500
Rh4 0.2500 0.7500 0.7500
Rh5 0.7500 0.2500 0.2500
Rh6 0.7500 0.2500 0.7500
Rh7 0.7500 0.7500 0.2500
Rh8 0.7500 0.7500 0.7500


# PBE YbSn2Rh2, relaxed
# Magnetization in μB per formula unit: 0.00
# Formation energy from the elements in eV/atom: -0.588
# Density of states at the Fermi level in states/eV/cell: 3.38
# Space group: P-1 (2)
# Total DFT energy (no corrections) in eV/atom: -5.434
data_YbSn2Rh2
_space_group_name_H-M_alt 'P 1'
_space_group_IT_number 1
_space_group_name_Hall 'P 1'
_cell_length_a 4.4766
_cell_length_b 5.1235
_cell_length_c 5.4944
_cell_angle_alpha 104.75
_cell_angle_beta 113.88
_cell_angle_gamma 90.05
loop_
_atom_site_label
_atom_site_fract_x
_atom_site_fract_y
_atom_site_fract_z
Yb1 0.0000 0.0000 0.0000
Sn1 0.3482 0.3927 0.6973
Sn2 0.6518 0.6073 0.3027
Rh1 0.2643 0.8432 0.5285
Rh2 0.7357 0.1568 0.4715


# PBE ZnSn3Rh3, relaxed
# Magnetization in μB per formula unit: 0.00
# Formation energy from the elements in eV/atom: -0.317
# Density of states at the Fermi level in states/eV/cell: 5.43
# Space group: R-3m (166)
# Total DFT energy (no corrections) in eV/atom: -5.365
data_ZnSn3Rh3
_space_group_name_H-M_alt 'P 1'
_space_group_IT_number 1
_space_group_name_Hall 'P 1'
_cell_length_a 5.4840
_cell_length_b 5.4840
_cell_length_c 5.4840
_cell_angle_alpha 109.07
_cell_angle_beta 109.07
_cell_angle_gamma 109.07
loop_
_atom_site_label
_atom_site_fract_x
_atom_site_fract_y
_atom_site_fract_z
Zn1 0.0000 0.0000 0.0000
Sn1 0.0000 0.5000 0.5000
Sn2 0.5000 0.0000 0.5000
Sn3 0.5000 0.5000 0.0000
Rh1 0.0000 0.0000 0.5000
Rh2 0.0000 0.5000 0.0000
Rh3 0.5000 0.0000 0.0000


# PBE ZnSnRh3, relaxed
# Magnetization in μB per formula unit: 0.00
# Formation energy from the elements in eV/atom: 0.065
# Density of states at the Fermi level in states/eV/cell: 14.72
# Distance to the lowest polymorph of the same formula in kcal/mol of atoms: 0.00
# Space group: Cmcm (63)
# Total DFT energy (no corrections) in eV/atom: -5.401
data_ZnSnRh3
_space_group_name_H-M_alt 'P 1'
_space_group_IT_number 1
_space_group_name_Hall 'P 1'
_cell_length_a 6.4243
_cell_length_b 6.4243
_cell_length_c 4.6547
_cell_angle_alpha 90.00
_cell_angle_beta 90.00
_cell_angle_gamma 119.91
loop_
_atom_site_label
_atom_site_fract_x
_atom_site_fract_y
_atom_site_fract_z
Zn1 0.0000 0.0000 0.0000
Zn2 0.0000 0.0000 0.5000
Sn1 0.3335 0.6665 0.7500
Sn2 0.6665 0.3335 0.2500
Rh1 0.1957 0.3906 0.2500
Rh2 0.1955 0.8045 0.2500
Rh3 0.3906 0.1957 0.7500
Rh4 0.6094 0.8043 0.2500
Rh5 0.8045 0.1955 0.7500
Rh6 0.8043 0.6094 0.7500


# PBE ZnSn4Rh2, relaxed
# Magnetization in μB per formula unit: 0.00
# Formation energy from the elements in eV/atom: -0.329
# Density of states at the Fermi level in states/eV/cell: 3.19
# Space group: R-3m (166)
# Total DFT energy (no corrections) in eV/atom: -4.899
data_ZnSn4Rh2
_space_group_name_H-M_alt 'P 1'
_space_group_IT_number 1
_space_group_name_Hall 'P 1'
_cell_length_a 9.4082
_cell_length_b 9.4082
_cell_length_c 9.4082
_cell_angle_alpha 26.88
_cell_angle_beta 26.88
_cell_angle_gamma 26.88
loop_
_atom_site_label
_atom_site_fract_x
_atom_site_fract_y
_atom_site_fract_z
Zn1 0.0000 0.0000 0.0000
Sn1 0.1997 0.1997 0.1997
Sn2 0.3889 0.3889 0.3889
Sn3 0.6111 0.6111 0.6111
Sn4 0.8003 0.8003 0.8003
Rh1 0.0956 0.0956 0.0956
Rh2 0.9044 0.9044 0.9044


# PBE Zn2Sn2Rh, relaxed
# Magnetization in μB per formula unit: 0.00
# Formation energy from the elements in eV/atom: 0.060
# Density of states at the Fermi level in states/eV/cell: 6.11
# Distance to the lowest polymorph of the same formula in kcal/mol of atoms: 0.00
# Space group: P4/mbm (127)
# Total DFT energy (no corrections) in eV/atom: -3.521
data_Zn2Sn2Rh
_space_group_name_H-M_alt 'P 1'
_space_group_IT_number 1
_space_group_name_Hall 'P 1'
_cell_length_a 6.8375
_cell_length_b 6.8375
_cell_length_c 4.0600
_cell_angle_alpha 90.00
_cell_angle_beta 90.00
_cell_angle_gamma 90.00
loop_
_atom_site_label
_atom_site_fract_x
_atom_site_fract_y
_atom_site_fract_z
Zn1 0.1331 0.3669 0.0000
Zn2 0.3669 0.8669 0.0000
Zn3 0.6331 0.1331 0.0000
Zn4 0.8669 0.6331 0.0000
Sn1 0.1768 0.6768 0.5000
Sn2 0.3232 0.1768 0.5000
Sn3 0.6768 0.8232 0.5000
Sn4 0.8232 0.3232 0.5000
Rh1 0.0000 0.0000 0.0000
Rh2 0.5000 0.5000 0.0000


# PBE ZnSnRh3, relaxed
# Magnetization in μB per formula unit: 0.90
# Formation energy from the elements in eV/atom: 1.011
# Density of states at the Fermi level in states/eV/cell: 4.00
# Distance to the lowest polymorph of the same formula in kcal/mol of atoms: 21.81
# Space group: Pm-3m (221)
# Total DFT energy (no corrections) in eV/atom: -4.456
data_ZnSnRh3
_space_group_name_H-M_alt 'P 1'
_space_group_IT_number 1
_space_group_name_Hall 'P 1'
_cell_length_a 4.8337
_cell_length_b 4.8337
_cell_length_c 4.8337
_cell_angle_alpha 90.00
_cell_angle_beta 90.00
_cell_angle_gamma 90.00
loop_
_atom_site_label
_atom_site_fract_x
_atom_site_fract_y
_atom_site_fract_z
Zn1 0.0000 0.0000 0.0000
Sn1 0.5000 0.5000 0.5000
Rh1 0.0000 0.5000 0.5000
Rh2 0.5000 0.0000 0.5000
Rh3 0.5000 0.5000 0.0000